# PBE SrWBr3, optimized geometry
data_SrWBr3
_cell_length_a 5.3654
_cell_length_b 5.3654
_cell_length_c 5.3654
_cell_angle_alpha 90.00
_cell_angle_beta 90.00
_cell_angle_gamma 90.00
_symmetry_space_group_name_H-M 'P m -3 m'
_symmetry_Int_Tables_number 221
_symmetry_space_group_name_Hall '-P 4 2 3'
loop_
_atom_site_label
_atom_site_type_symbol
_atom_site_fract_x
_atom_site_fract_y
_atom_site_fract_z
_atom_site_occupancy
Sr1 Sr 0.0000 0.0000 0.0000 1
W1 W 0.5000 0.5000 0.5000 1
Br1 Br 0.0000 0.5000 0.5000 1
# Formation energy (no corrections) (meV per atom): -108
# Mass density (kg/m³): 5495
# Density of states at the Fermi level (states/eV/atom): 0.594
# Raw total energy (Ry/atom): -0.2968
# Relative energy among the computed polymorphs (meV per atom): 0.0

***

# PBE TbDyGaSn, optimized geometry
data_TbDyGaSn
_cell_length_a 7.3916
_cell_length_b 7.3916
_cell_length_c 7.3916
_cell_angle_alpha 90.00
_cell_angle_beta 90.00
_cell_angle_gamma 90.00
_symmetry_space_group_name_H-M 'F -4 3 m'
_symmetry_Int_Tables_number 216
_symmetry_space_group_name_Hall 'F -4 2 3'
loop_
_atom_site_label
_atom_site_type_symbol
_atom_site_fract_x
_atom_site_fract_y
_atom_site_fract_z
_atom_site_occupancy
Tb1 Tb 0.0000 0.0000 0.0000 1
Dy1 Dy 0.0000 0.0000 0.5000 1
Ga1 Ga 0.2500 0.2500 0.7500 1
Sn1 Sn 0.2500 0.2500 0.2500 1
# Mass density (kg/m³): 8386
# E_form (eV per atom): -0.549
# Density of states at the Fermi level (states/eV/atom): 0.646
# Raw total energy (Ry/atom): -0.3392
# Relative energy among the computed polymorphs (meV per atom): 154.9

***

# PBE BaNdZn2Pd2, optimized geometry
data_BaNdZn2Pd2
_cell_length_a 4.5246
_cell_length_b 4.5246
_cell_length_c 8.3027
_cell_angle_alpha 90.00
_cell_angle_beta 90.00
_cell_angle_gamma 120.00
_symmetry_space_group_name_H-M 'P -3 m 1'
_symmetry_Int_Tables_number 164
_symmetry_space_group_name_Hall '-P 3 2"'
loop_
_atom_site_label
_atom_site_type_symbol
_atom_site_fract_x
_atom_site_fract_y
_atom_site_fract_z
_atom_site_occupancy
Ba1 Ba 0.0000 0.0000 0.0000 1
Nd1 Nd 0.0000 0.0000 0.5000 1
Zn1 Zn 0.3333 0.6667 0.2872 1
Pd1 Pd 0.3333 0.6667 0.7054 1
# Mass density (kg/m³): 7053
# E_form (eV per atom): -0.594
# Density of states at the Fermi level (states/eV/atom): 0.819
# Raw total energy (Ry/atom): -0.2840

***

# PBE BeCo3Se, optimized geometry
data_BeCo3Se
_cell_length_a 4.2579
_cell_length_b 4.2579
_cell_length_c 4.2579
_cell_angle_alpha 90.00
_cell_angle_beta 90.00
_cell_angle_gamma 90.00
_symmetry_space_group_name_H-M 'P m -3 m'
_symmetry_Int_Tables_number 221
_symmetry_space_group_name_Hall '-P 4 2 3'
loop_
_atom_site_label
_atom_site_type_symbol
_atom_site_fract_x
_atom_site_fract_y
_atom_site_fract_z
_atom_site_occupancy
Be1 Be 0.0000 0.0000 0.0000 1
Co1 Co 0.0000 0.5000 0.5000 1
Se1 Se 0.5000 0.5000 0.5000 1
# Formation energy (no corrections) (meV per atom): 895
# Mass density (kg/m³): 5696
# Density of states at the Fermi level (states/eV/atom): 0.506
# Raw total energy (Ry/atom): -0.3536
# Relative energy among the computed polymorphs (meV per atom): 351.0

***

# PBE Rb3CuAu2Cl6, optimized geometry
data_Rb3CuAu2Cl6
_cell_length_a 7.7006
_cell_length_b 7.7006
_cell_length_c 8.3379
_cell_angle_alpha 90.00
_cell_angle_beta 90.00
_cell_angle_gamma 120.00
_symmetry_space_group_name_H-M 'P -3 m 1'
_symmetry_Int_Tables_number 164
_symmetry_space_group_name_Hall '-P 3 2"'
loop_
_atom_site_label
_atom_site_type_symbol
_atom_site_fract_x
_atom_site_fract_y
_atom_site_fract_z
_atom_site_occupancy
Rb1 Rb 0.0000 0.0000 0.0000 1
Rb2 Rb 0.3333 0.6667 0.6781 1
Cu1 Cu 0.0000 0.0000 0.5000 1
Au1 Au 0.3333 0.6667 0.2769 1
Cl1 Cl 0.1490 0.2981 0.3069 1
# Formation energy (no corrections) (meV per atom): -940
# Mass density (kg/m³): 3593
# Density of states at the Fermi level (states/eV/atom): 0.054
# Raw total energy (Ry/atom): -0.2200

***

# PBE LaThCu2, optimized geometry
data_LaThCu2
_cell_length_a 7.2213
_cell_length_b 7.2213
_cell_length_c 7.2213
_cell_angle_alpha 90.00
_cell_angle_beta 90.00
_cell_angle_gamma 90.00
_symmetry_space_group_name_H-M 'F m -3 m'
_symmetry_Int_Tables_number 225
_symmetry_space_group_name_Hall '-F 4 2 3'
loop_
_atom_site_label
_atom_site_type_symbol
_atom_site_fract_x
_atom_site_fract_y
_atom_site_fract_z
_atom_site_occupancy
La1 La 0.0000 0.0000 0.0000 1
Th1 Th 0.0000 0.0000 0.5000 1
Cu1 Cu 0.2500 0.2500 0.2500 1
# Mass density (kg/m³): 8784
# E_form (eV per atom): -0.061
# Density of states at the Fermi level (states/eV/atom): 1.013
# Raw total energy (Ry/atom): -0.3819
# Relative energy among the computed polymorphs (meV per atom): 60.3

***

# PBE PO2, optimized geometry
data_PO2
_cell_length_a 9.8980
_cell_length_b 10.2508
_cell_length_c 7.9603
_cell_angle_alpha 90.00
_cell_angle_beta 96.89
_cell_angle_gamma 90.00
_symmetry_space_group_name_H-M 'C 1 2/c 1'
_symmetry_Int_Tables_number 15
_symmetry_space_group_name_Hall '-C 2yc'
loop_
_atom_site_label
_atom_site_type_symbol
_atom_site_fract_x
_atom_site_fract_y
_atom_site_fract_z
_atom_site_occupancy
P1 P 0.0410 0.1815 0.0758 1
P2 P 0.1391 0.3833 0.3180 1
O1 O 0.0000 0.1131 0.2500 1
O2 O 0.0000 0.4617 0.2500 1
O3 O 0.0901 0.2895 0.4594 1
O4 O 0.1605 0.2884 0.1639 1
O5 O 0.2471 0.0309 0.6243 1
# Formation energy (no corrections) (meV per atom): -1799
# Mass density (kg/m³): 2087
# Density of states at the Fermi level (states/eV/atom): 0.000
# Raw total energy (Ry/atom): -0.5077

***

# PBE NpAl2GaAu4, optimized geometry
data_NpAl2GaAu4
_cell_length_a 4.3787
_cell_length_b 4.3787
_cell_length_c 28.0405
_cell_angle_alpha 90.00
_cell_angle_beta 90.00
_cell_angle_gamma 120.00
_symmetry_space_group_name_H-M 'R -3 m'
_symmetry_Int_Tables_number 166
_symmetry_space_group_name_Hall '-R 3 2"'
loop_
_atom_site_label
_atom_site_type_symbol
_atom_site_fract_x
_atom_site_fract_y
_atom_site_fract_z
_atom_site_occupancy
Np1 Np 0.0000 0.0000 0.0000 1
Al1 Al 0.0000 0.0000 0.2471 1
Ga1 Ga 0.0000 0.0000 0.5000 1
Au1 Au 0.0000 0.0000 0.1261 1
Au2 Au 0.0000 0.0000 0.3945 1
# Mass density (kg/m³): 12289
# E_form (eV per atom): -0.240
# Density of states at the Fermi level (states/eV/atom): 1.721
# Raw total energy (Ry/atom): -0.3536

***

Q: Which of these has the highest raw total energy?
A: Rb3CuAu2Cl6

***

Q: What is the mass density in the fifth record?
A: 3593 kg/m³

***

What did the second record say?
# PBE TbDyGaSn, optimized geometry
data_TbDyGaSn
_cell_length_a 7.3916
_cell_length_b 7.3916
_cell_length_c 7.3916
_cell_angle_alpha 90.00
_cell_angle_beta 90.00
_cell_angle_gamma 90.00
_symmetry_space_group_name_H-M 'F -4 3 m'
_symmetry_Int_Tables_number 216
_symmetry_space_group_name_Hall 'F -4 2 3'
loop_
_atom_site_label
_atom_site_type_symbol
_atom_site_fract_x
_atom_site_fract_y
_atom_site_fract_z
_atom_site_occupancy
Tb1 Tb 0.0000 0.0000 0.0000 1
Dy1 Dy 0.0000 0.0000 0.5000 1
Ga1 Ga 0.2500 0.2500 0.7500 1
Sn1 Sn 0.2500 0.2500 0.2500 1
# Mass density (kg/m³): 8386
# E_form (eV per atom): -0.549
# Density of states at the Fermi level (states/eV/atom): 0.646
# Raw total energy (Ry/atom): -0.3392
# Relative energy among the computed polymorphs (meV per atom): 154.9